1 | DFT (PBE) results for a relaxed structure of HoAu6.

Cell: 10.4674 10.4674 9.9490 Å, 90.00 90.00 90.00°
Atoms (fractional coordinates):
Ho  0.0728  0.0728  0.2110
Ho  0.0728  0.4272  0.7110
Ho  0.4272  0.0728  0.7110
Ho  0.4272  0.4272  0.2110
Ho  0.5728  0.5728  0.7890
Ho  0.5728  0.9272  0.2890
Ho  0.9272  0.5728  0.2890
Ho  0.9272  0.9272  0.7890
Au  0.0000  0.0000  0.5000
Au  0.0000  0.5000  0.0000
Au  0.0141  0.6802  0.5775
Au  0.0141  0.8198  0.0775
Au  0.1214  0.6974  0.8528
Au  0.1214  0.8026  0.3528
Au  0.1498  0.1498  0.6790
Au  0.1498  0.3502  0.1790
Au  0.1802  0.5141  0.4225
Au  0.1802  0.9859  0.9225
Au  0.1974  0.6214  0.1472
Au  0.1974  0.8786  0.6472
Au  0.2500  0.2500  0.4314
Au  0.2500  0.2500  0.9314
Au  0.3026  0.6214  0.6472
Au  0.3026  0.8786  0.1472
Au  0.3198  0.5141  0.9225
Au  0.3198  0.9859  0.4225
Au  0.3502  0.1498  0.1790
Au  0.3502  0.3502  0.6790
Au  0.3786  0.6974  0.3528
Au  0.3786  0.8026  0.8528
Au  0.4859  0.6802  0.0775
Au  0.4859  0.8198  0.5775
Au  0.5000  0.0000  0.0000
Au  0.5000  0.5000  0.5000
Au  0.5141  0.1802  0.4225
Au  0.5141  0.3198  0.9225
Au  0.6214  0.1974  0.1472
Au  0.6214  0.3026  0.6472
Au  0.6498  0.6498  0.3210
Au  0.6498  0.8502  0.8210
Au  0.6802  0.0141  0.5775
Au  0.6802  0.4859  0.0775
Au  0.6974  0.1214  0.8528
Au  0.6974  0.3786  0.3528
Au  0.7500  0.7500  0.0686
Au  0.7500  0.7500  0.5686
Au  0.8026  0.1214  0.3528
Au  0.8026  0.3786  0.8528
Au  0.8198  0.0141  0.0775
Au  0.8198  0.4859  0.5775
Au  0.8502  0.6498  0.8210
Au  0.8502  0.8502  0.3210
Au  0.8786  0.1974  0.6472
Au  0.8786  0.3026  0.1472
Au  0.9859  0.1802  0.9225
Au  0.9859  0.3198  0.4225

Properties
Theoretical density, g/cm3: 16.412
Calculated volume, Å³/f.u.: 136

***

2 | DFT (PBE) results for a relaxed structure of HoAu6.

Cell: 7.3856 7.3856 7.3856 Å, 90.00 90.00 90.00°
Atoms (fractional coordinates):
Ho  0.0000  0.0000  0.0000
Ho  0.5000  0.5000  0.5000
Au  0.0000  0.2500  0.5000
Au  0.0000  0.5000  0.2500
Au  0.0000  0.5000  0.7500
Au  0.0000  0.7500  0.5000
Au  0.2500  0.0000  0.5000
Au  0.2500  0.5000  0.0000
Au  0.5000  0.0000  0.2500
Au  0.5000  0.0000  0.7500
Au  0.5000  0.2500  0.0000
Au  0.5000  0.7500  0.0000
Au  0.7500  0.0000  0.5000
Au  0.7500  0.5000  0.0000

Properties
Theoretical density, g/cm3: 11.102
Calculated volume, Å³/f.u.: 201

***

Of them, the most stable is 1 and the least stable is 2.

***

1 | DFT (PBE) results for a relaxed structure of Ho4InAu.

Cell: 7.4231 7.3659 6.8718 Å, 90.00 93.68 90.00°
Atoms (fractional coordinates):
Ho  0.1584  0.1674  0.1756
Ho  0.1584  0.3326  0.6756
Ho  0.3339  0.6468  0.1117
Ho  0.3339  0.8532  0.6117
Ho  0.6661  0.1468  0.3883
Ho  0.6661  0.3532  0.8883
Ho  0.8416  0.6674  0.3244
Ho  0.8416  0.8326  0.8244
In  0.5000  0.0000  0.0000
In  0.5000  0.5000  0.5000
Au  0.0000  0.0000  0.5000
Au  0.0000  0.5000  0.0000

Properties
Theoretical density, g/cm3: 8.605
Calculated volume, Å³/f.u.: 187

***

2 | DFT (PBE) results for a relaxed structure of Ho4InAu.

Cell: 5.3721 6.9018 8.8214 Å, 90.00 96.84 90.00°
Atoms (fractional coordinates):
Ho  0.1820  0.2500  0.0623
Ho  0.2237  0.7500  0.3848
Ho  0.3026  0.5093  0.7443
Ho  0.3026  0.9907  0.7443
Ho  0.6974  0.0093  0.2557
Ho  0.6974  0.4907  0.2557
Ho  0.7763  0.2500  0.6152
Ho  0.8180  0.7500  0.9377
In  0.2358  0.2500  0.4201
In  0.7642  0.7500  0.5799
Au  0.3298  0.7500  0.0613
Au  0.6702  0.2500  0.9387

Properties
Theoretical density, g/cm3: 9.935
Calculated volume, Å³/f.u.: 162

***

Of them, the most stable is 2 and the least stable is 1.

***

1 | DFT (PBE) results for a relaxed structure of PmHoInAu.

Cell: 3.6399 3.6399 7.7965 Å, 90.00 90.00 90.00°
Atoms (fractional coordinates):
Pm  0.0000  0.0000  0.0000
Ho  0.0000  0.0000  0.5371
In  0.5000  0.5000  0.2747
Au  0.5000  0.5000  0.7402

Properties
Theoretical density, g/cm3: 9.994
Calculated volume, Å³/f.u.: 103

***

2 | DFT (PBE) results for a relaxed structure of PmHoInAu.

Cell: 7.4702 7.4702 7.4702 Å, 90.00 90.00 90.00°
Atoms (fractional coordinates):
Pm  0.0000  0.0000  0.0000
Pm  0.0000  0.5000  0.5000
Pm  0.5000  0.0000  0.5000
Pm  0.5000  0.5000  0.0000
Ho  0.0000  0.0000  0.5000
Ho  0.0000  0.5000  0.0000
Ho  0.5000  0.0000  0.0000
Ho  0.5000  0.5000  0.5000
In  0.2500  0.2500  0.7500
In  0.2500  0.7500  0.2500
In  0.7500  0.2500  0.2500
In  0.7500  0.7500  0.7500
Au  0.2500  0.2500  0.2500
Au  0.2500  0.7500  0.7500
Au  0.7500  0.2500  0.7500
Au  0.7500  0.7500  0.2500

Properties
Theoretical density, g/cm3: 9.906
Calculated volume, Å³/f.u.: 104

***

Of them, the most stable is 1 and the least stable is 2.

***

1 | DFT (PBE) results for a relaxed structure of HoTmInAu.

Cell: 3.5795 3.5795 7.6190 Å, 90.00 90.00 90.00°
Atoms (fractional coordinates):
Ho  0.0000  0.0000  0.0000
Tm  0.0000  0.0000  0.5384
In  0.5000  0.5000  0.2705
Au  0.5000  0.5000  0.7604

Properties
Theoretical density, g/cm3: 10.983
Calculated volume, Å³/f.u.: 98

***

2 | DFT (PBE) results for a relaxed structure of HoTmInAu.

Cell: 7.3208 7.3208 7.3208 Å, 90.00 90.00 90.00°
Atoms (fractional coordinates):
Ho  0.0000  0.0000  0.0000
Ho  0.0000  0.5000  0.5000
Ho  0.5000  0.0000  0.5000
Ho  0.5000  0.5000  0.0000
Tm  0.0000  0.0000  0.5000
Tm  0.0000  0.5000  0.0000
Tm  0.5000  0.0000  0.0000
Tm  0.5000  0.5000  0.5000
In  0.2500  0.2500  0.2500
In  0.2500  0.7500  0.7500
In  0.7500  0.2500  0.7500
In  0.7500  0.7500  0.2500
Au  0.2500  0.2500  0.7500
Au  0.2500  0.7500  0.2500
Au  0.7500  0.2500  0.2500
Au  0.7500  0.7500  0.7500

Properties
Theoretical density, g/cm3: 10.930
Calculated volume, Å³/f.u.: 98

***

Of them, the most stable is 1 and the least stable is 2.

***

1 | DFT (PBE) results for a relaxed structure of Ho3IrAu2.

Cell: 3.5304 3.5304 10.5763 Å, 90.00 90.00 90.00°
Atoms (fractional coordinates):
Ho  0.0000  0.0000  0.0000
Ho  0.0000  0.0000  0.3464
Ho  0.0000  0.0000  0.6536
Ir  0.5000  0.5000  0.5000
Au  0.5000  0.5000  0.1701
Au  0.5000  0.5000  0.8299

Properties
Theoretical density, g/cm3: 13.617
Calculated volume, Å³/f.u.: 132

***

2 | DFT (PBE) results for a relaxed structure of Ho3IrAu2.

Cell: 7.2552 7.2552 8.1049 Å, 106.20 106.20 46.97°
Atoms (fractional coordinates):
Ho  0.0022  0.9978  0.7500
Ho  0.3509  0.3543  0.9264
Ho  0.3543  0.3509  0.4264
Ho  0.6457  0.6491  0.5736
Ho  0.6491  0.6457  0.0736
Ho  0.9978  0.0022  0.2500
Ir  0.4980  0.5020  0.2500
Ir  0.5020  0.4980  0.7500
Au  0.1741  0.1775  0.5879
Au  0.1775  0.1741  0.0879
Au  0.8225  0.8259  0.9121
Au  0.8259  0.8225  0.4121

Properties
Theoretical density, g/cm3: 12.085
Calculated volume, Å³/f.u.: 149

***

Of them, the most stable is 1 and the least stable is 2.

***

1 | DFT (PBE) results for a relaxed structure of HoIrAu.

Cell: 5.2934 4.6572 5.4358 Å, 90.00 116.29 90.00°
Atoms (fractional coordinates):
Ho  0.0206  0.2500  0.2476
Ho  0.9794  0.7500  0.7524
Ir  0.3958  0.7500  0.5510
Ir  0.6042  0.2500  0.4490
Au  0.3750  0.2500  0.8471
Au  0.6250  0.7500  0.1529

Properties
Theoretical density, g/cm3: 15.317
Calculated volume, Å³/f.u.: 60

***

2 | DFT (PBE) results for a relaxed structure of HoIrAu.

Cell: 3.5623 3.5623 9.2557 Å, 90.00 90.00 90.00°
Atoms (fractional coordinates):
Ho  0.0000  0.0000  0.0000
Ho  0.5000  0.5000  0.5000
Ir  0.0000  0.0000  0.6576
Ir  0.5000  0.5000  0.1576
Au  0.0000  0.0000  0.3223
Au  0.5000  0.5000  0.8223

Properties
Theoretical density, g/cm3: 15.668
Calculated volume, Å³/f.u.: 59

***

Of them, the most stable is 1 and the least stable is 2.

***

1 | DFT (PBE) results for a relaxed structure of LaHoAu4.

Cell: 3.8042 3.8042 9.3626 Å, 90.00 90.00 90.00°
Atoms (fractional coordinates):
La  0.0000  0.0000  0.0000
Ho  0.5000  0.5000  0.5000
Au  0.0000  0.0000  0.3427
Au  0.0000  0.0000  0.6573
Au  0.5000  0.5000  0.1785
Au  0.5000  0.5000  0.8215

Properties
Theoretical density, g/cm3: 13.379
Calculated volume, Å³/f.u.: 135

***

2 | DFT (PBE) results for a relaxed structure of LaHoAu4.

Cell: 3.8325 5.2799 7.7452 Å, 70.42 89.96 68.99°
Atoms (fractional coordinates):
La  0.0000  0.0000  0.0000
Ho  0.0000  0.0000  0.5000
Au  0.3343  0.3339  0.6576
Au  0.3430  0.3199  0.1942
Au  0.6570  0.6801  0.8058
Au  0.6657  0.6661  0.3424

Properties
Theoretical density, g/cm3: 13.275
Calculated volume, Å³/f.u.: 137

***

Of them, the most stable is 2 and the least stable is 1.

***

1 | DFT (PBE) results for a relaxed structure of LaHoPdAu.

Cell: 4.8267 3.8603 10.7268 Å, 90.00 90.00 90.00°
Atoms (fractional coordinates):
La  0.0000  0.0000  0.0000
La  0.0000  0.5000  0.5000
Ho  0.5000  0.0000  0.7249
Ho  0.5000  0.5000  0.2249
Pd  0.0000  0.0000  0.2716
Pd  0.0000  0.5000  0.7716
Au  0.5000  0.0000  0.4423
Au  0.5000  0.5000  0.9423

Properties
Theoretical density, g/cm3: 10.090
Calculated volume, Å³/f.u.: 100

***

2 | DFT (PBE) results for a relaxed structure of LaHoPdAu.

Cell: 7.2902 7.2902 7.2902 Å, 90.00 90.00 90.00°
Atoms (fractional coordinates):
La  0.0000  0.0000  0.0000
La  0.0000  0.5000  0.5000
La  0.5000  0.0000  0.5000
La  0.5000  0.5000  0.0000
Ho  0.0000  0.0000  0.5000
Ho  0.0000  0.5000  0.0000
Ho  0.5000  0.0000  0.0000
Ho  0.5000  0.5000  0.5000
Pd  0.2500  0.2500  0.2500
Pd  0.2500  0.7500  0.7500
Pd  0.7500  0.2500  0.7500
Pd  0.7500  0.7500  0.2500
Au  0.2500  0.2500  0.7500
Au  0.2500  0.7500  0.2500
Au  0.7500  0.2500  0.2500
Au  0.7500  0.7500  0.7500

Properties
Theoretical density, g/cm3: 10.410
Calculated volume, Å³/f.u.: 97

***

Of them, the most stable is 1 and the least stable is 2.

***

1 | DFT (PBE) results for a relaxed structure of Li2HoAu2.

Cell: 5.3595 5.3617 7.7064 Å, 110.30 110.31 90.05°
Atoms (fractional coordinates):
Li  0.1929  0.1926  0.4930
Li  0.3045  0.6971  0.5016
Li  0.6955  0.3029  0.4984
Li  0.8071  0.8074  0.5070
Ho  0.2479  0.2466  0.0001
Ho  0.7521  0.7534  0.9999
Au  0.1454  0.6350  0.7836
Au  0.3626  0.8518  0.2161
Au  0.6374  0.1482  0.7839
Au  0.8546  0.3650  0.2164

Properties
Theoretical density, g/cm3: 9.860
Calculated volume, Å³/f.u.: 96

***

2 | DFT (PBE) results for a relaxed structure of Li2HoAu2.

Cell: 4.8676 4.8676 5.3046 Å, 90.00 90.00 120.00°
Atoms (fractional coordinates):
Li  0.3333  0.6667  0.1330
Li  0.6667  0.3333  0.8670
Ho  0.0000  0.0000  0.5000
Au  0.3333  0.6667  0.6466
Au  0.6667  0.3333  0.3534

Properties
Theoretical density, g/cm3: 8.738
Calculated volume, Å³/f.u.: 109

***

Of them, the most stable is 1 and the least stable is 2.

***

1 | DFT (PBE) results for a relaxed structure of LiHoAu.

Cell: 3.6852 3.6852 9.1567 Å, 90.00 90.00 90.00°
Atoms (fractional coordinates):
Li  0.0000  0.0000  0.0000
Li  0.5000  0.5000  0.5000
Ho  0.0000  0.0000  0.3091
Ho  0.5000  0.5000  0.8091
Au  0.0000  0.0000  0.6492
Au  0.5000  0.5000  0.1492

Properties
Theoretical density, g/cm3: 9.850
Calculated volume, Å³/f.u.: 62

***

2 | DFT (PBE) results for a relaxed structure of LiHoAu.

Cell: 7.3573 7.3573 4.0847 Å, 90.00 90.00 120.00°
Atoms (fractional coordinates):
Li  0.0000  0.2383  0.0000
Li  0.2383  0.0000  0.0000
Li  0.7617  0.7617  0.0000
Ho  0.0000  0.5893  0.5000
Ho  0.4107  0.4107  0.5000
Ho  0.5893  0.0000  0.5000
Au  0.0000  0.0000  0.5000
Au  0.3333  0.6667  0.0000
Au  0.6667  0.3333  0.0000

Properties
Theoretical density, g/cm3: 9.596
Calculated volume, Å³/f.u.: 64

***

Of them, the most stable is 2 and the least stable is 1.

***

1 | DFT (PBE) results for a relaxed structure of LiHoAu.

Cell: 6.6631 6.6631 6.6631 Å, 90.00 90.00 90.00°
Atoms (fractional coordinates):
Li  0.0000  0.0000  0.0000
Li  0.0000  0.5000  0.5000
Li  0.5000  0.0000  0.5000
Li  0.5000  0.5000  0.0000
Ho  0.0000  0.0000  0.5000
Ho  0.0000  0.5000  0.0000
Ho  0.5000  0.0000  0.0000
Ho  0.5000  0.5000  0.5000
Au  0.2500  0.2500  0.7500
Au  0.2500  0.7500  0.2500
Au  0.7500  0.2500  0.2500
Au  0.7500  0.7500  0.7500

Properties
Theoretical density, g/cm3: 8.282
Calculated volume, Å³/f.u.: 74

***

2 | DFT (PBE) results for a relaxed structure of LiHoAu.

Cell: 3.4636 4.8808 16.3093 Å, 90.00 90.00 90.00°
Atoms (fractional coordinates):
Li  0.0000  0.2488  0.0000
Li  0.0000  0.7512  0.0000
Li  0.5000  0.2512  0.5000
Li  0.5000  0.7488  0.5000
Ho  0.0000  0.0000  0.3267
Ho  0.0000  0.0000  0.6733
Ho  0.5000  0.5000  0.1733
Ho  0.5000  0.5000  0.8267
Au  0.0000  0.0000  0.1464
Au  0.0000  0.0000  0.8536
Au  0.5000  0.5000  0.3536
Au  0.5000  0.5000  0.6464

Properties
Theoretical density, g/cm3: 8.886
Calculated volume, Å³/f.u.: 69

***

3 | DFT (PBE) results for a relaxed structure of LiHoAu.

Cell: 4.4775 4.4775 3.5990 Å, 90.00 90.00 120.00°
Atoms (fractional coordinates):
Li  0.0000  0.0000  0.0000
Ho  0.6667  0.3333  0.5000
Au  0.3333  0.6667  0.0000

Properties
Theoretical density, g/cm3: 9.801
Calculated volume, Å³/f.u.: 62

***

4 | DFT (PBE) results for a relaxed structure of LiHoAu.

Cell: 4.0465 4.0465 7.9694 Å, 90.00 90.00 90.00°
Atoms (fractional coordinates):
Li  0.2500  0.7500  0.0000
Li  0.7500  0.2500  0.0000
Ho  0.2500  0.2500  0.3499
Ho  0.7500  0.7500  0.6501
Au  0.2500  0.2500  0.7419
Au  0.7500  0.7500  0.2581

Properties
Theoretical density, g/cm3: 9.387
Calculated volume, Å³/f.u.: 65

***

Of them, the most stable is 4 and the least stable is 2.